[1]
{
  "formula": "CaCoGe2Ru",
  "functional": "PBE",
  "state": "relaxed",
  "lattice_angstrom": [[-2.063, 2.063, 5.140], [2.063, -2.063, 5.140], [2.063, 2.063, -5.140]],
  "species": ["Ca", "Co", "Ge", "Ge", "Ru"],
  "fractional_positions": [[0.000, 0.000, 0.000], [0.750, 0.250, 0.500], [0.369, 0.369, 0.000], [0.631, 0.631, 0.000], [0.250, 0.750, 0.500]],
  "density_g_cm3": 6.6,
  "delta_e_f_ev_per_fu": -2.45
}

=====

[2]
{
  "formula": "KCr2Tc",
  "functional": "PBE",
  "state": "relaxed",
  "lattice_angstrom": [[1.499, -2.218, 0.000], [1.499, 2.218, 0.000], [0.000, 0.000, 9.834]],
  "species": ["K", "Cr", "Cr", "Tc"],
  "fractional_positions": [[0.000, 0.000, 0.000], [0.000, 0.000, 0.490], [0.500, 0.500, 0.313], [0.500, 0.500, 0.698]],
  "density_g_cm3": 6.1,
  "delta_e_f_ev_per_fu": 3.34,
  "e_above_lowest_polymorph_mev_per_atom": 47
}

=====

[3]
{
  "formula": "B3TeSe",
  "functional": "PBE",
  "state": "relaxed",
  "lattice_angstrom": [[4.489, 0.000, 0.000], [0.000, 4.489, 0.000], [0.000, 0.000, 4.489]],
  "species": ["B", "B", "B", "Te", "Se"],
  "fractional_positions": [[0.000, 0.000, 0.500], [0.000, 0.500, 0.000], [0.500, 0.000, 0.000], [0.000, 0.000, 0.000], [0.500, 0.500, 0.500]],
  "density_g_cm3": 4.4,
  "e_above_lowest_polymorph_mev_per_atom": 304,
  "raw_formation_energy_ev_per_atom": 2.14
}

=====

[4]
{
  "formula": "Dy2ZnTc",
  "functional": "PBE",
  "state": "relaxed",
  "lattice_angstrom": [[3.505, 0.000, 0.000], [0.000, 3.505, 0.000], [0.000, 0.000, 7.006]],
  "species": ["Dy", "Dy", "Zn", "Tc"],
  "fractional_positions": [[0.000, 0.000, 0.232], [0.000, 0.000, 0.768], [0.500, 0.500, 0.500], [0.500, 0.500, 0.000]],
  "density_g_cm3": 9.4,
  "delta_e_f_ev_per_fu": -0.71
}

=====

[5]
{
  "formula": "CeEuTmSn",
  "functional": "PBE",
  "state": "relaxed",
  "lattice_angstrom": [[0.000, 3.864, 3.864], [3.864, 0.000, 3.864], [3.864, 3.864, 0.000]],
  "species": ["Ce", "Eu", "Tm", "Sn"],
  "fractional_positions": [[0.000, 0.000, 0.000], [0.750, 0.750, 0.750], [0.500, 0.500, 0.500], [0.250, 0.250, 0.250]],
  "density_g_cm3": 8.3,
  "delta_e_f_ev_per_fu": -0.75
}

=====

[6]
{
  "formula": "BeAgRh2",
  "functional": "PBE",
  "state": "relaxed",
  "lattice_angstrom": [[4.934, -1.375, 0.000], [4.934, 1.375, 0.000], [-2.008, 0.000, 3.981]],
  "species": ["Be", "Ag", "Rh", "Rh"],
  "fractional_positions": [[0.000, 0.000, 0.000], [0.500, 0.500, 0.500], [0.289, 0.289, 0.789], [0.711, 0.711, 0.211]],
  "density_g_cm3": 9.9,
  "delta_e_f_ev_per_fu": -0.36
}

=====

[7]
{
  "formula": "LiCaAl2Ga2",
  "functional": "PBE",
  "state": "relaxed",
  "lattice_angstrom": [[4.438, 0.000, 0.000], [-2.219, 3.844, 0.000], [0.000, 0.000, 6.879]],
  "species": ["Li", "Ca", "Al", "Al", "Ga", "Ga"],
  "fractional_positions": [[0.000, 0.000, 0.000], [0.000, 0.000, 0.500], [0.333, 0.667, 0.196], [0.667, 0.333, 0.804], [0.333, 0.667, 0.768], [0.667, 0.333, 0.232]],
  "density_g_cm3": 3.4,
  "delta_e_f_ev_per_fu": -1.85
}

=====

[8]
{
  "formula": "Fe3PCl",
  "functional": "PBE",
  "state": "relaxed",
  "lattice_angstrom": [[4.310, 0.000, 0.000], [0.000, 4.310, 0.000], [0.000, 0.000, 4.310]],
  "species": ["Fe", "Fe", "Fe", "P", "Cl"],
  "fractional_positions": [[0.000, 0.000, 0.500], [0.000, 0.500, 0.000], [0.500, 0.000, 0.000], [0.000, 0.000, 0.000], [0.500, 0.500, 0.500]],
  "density_g_cm3": 4.9,
  "e_above_lowest_polymorph_mev_per_atom": 0,
  "raw_formation_energy_ev_per_atom": 0.52
}

=====

[9]
{
  "formula": "LiNi2HN",
  "functional": "PBE",
  "state": "relaxed",
  "lattice_angstrom": [[3.612, 0.000, 0.000], [0.000, 3.612, 0.000], [0.000, 0.000, 4.029]],
  "species": ["Li", "Ni", "Ni", "H", "N"],
  "fractional_positions": [[0.000, 0.000, 0.000], [0.000, 0.500, 0.500], [0.500, 0.000, 0.500], [0.500, 0.500, 0.000], [0.000, 0.000, 0.500]],
  "density_g_cm3": 4.4,
  "total_energy_ev_per_atom": -4.8452
}

=====

[10]
{
  "formula": "PrCuC2O6",
  "functional": "PBE",
  "state": "relaxed",
  "lattice_angstrom": [[2.516, 1.453, 5.577], [-2.516, 1.453, 5.577], [0.000, -2.906, 5.577]],
  "species": ["Pr", "Cu", "C", "C", "O", "O", "O", "O", "O", "O"],
  "fractional_positions": [[0.000, 0.000, 0.000], [0.500, 0.500, 0.500], [0.248, 0.248, 0.248], [0.752, 0.752, 0.752], [0.021, 0.506, 0.727], [0.273, 0.979, 0.494], [0.494, 0.273, 0.979], [0.506, 0.727, 0.021], [0.727, 0.021, 0.506], [0.979, 0.494, 0.273]],
  "density_g_cm3": 4.4,
  "raw_formation_energy_ev_per_atom": -1.69
}

=====

[11]
{
  "formula": "ZrTc2Rh",
  "functional": "PBE",
  "state": "relaxed",
  "lattice_angstrom": [[2.860, 0.000, 0.000], [0.000, 4.418, 0.000], [-0.854, 0.000, 5.148]],
  "species": ["Zr", "Tc", "Tc", "Rh"],
  "fractional_positions": [[0.000, 0.000, 0.000], [0.248, 0.500, 0.660], [0.574, 0.000, 0.511], [0.581, 0.500, 0.197]],
  "density_g_cm3": 10.0,
  "delta_e_f_ev_per_fu": -0.60,
  "e_above_lowest_polymorph_mev_per_atom": 13
}

=====

[12]
{
  "formula": "Tl2Sb",
  "functional": "PBE",
  "state": "relaxed",
  "lattice_angstrom": [[0.000, 4.561, 4.561], [4.561, 0.000, 4.561], [4.561, 4.561, 0.000]],
  "species": ["Tl", "Tl", "Tl", "Tl", "Sb", "Sb"],
  "fractional_positions": [[0.000, 0.000, 0.000], [0.000, 0.000, 0.500], [0.000, 0.500, 0.000], [0.500, 0.000, 0.000], [0.375, 0.375, 0.375], [0.625, 0.625, 0.625]],
  "density_g_cm3": 9.3,
  "e_above_lowest_polymorph_mev_per_atom": 274,
  "raw_formation_energy_ev_per_atom": 0.25
}